# LaCu2Tc

Crystalline LaCu2Tc at its relaxed geometry (PBE-GGA, the Alexandria database).

Energy relative to the lowest polymorph listed for this composition in eV per atom: 0.0000
Energy in eV/atom: -5.77

Cell: 7.5735 4.3748 5.5304 Å, 90.00 117.35 90.00°
Last column: nearest neighbours and their distance in Å.
Fractional coordinates of all 8 atoms:
La 0.0000 0.0000 0.0000  1 Tc 2.56, 1 Cu 2.87
La 0.5000 0.5000 0.0000  1 Tc 2.56, 1 Cu 2.87
Cu 0.0009 0.5000 0.5057  3 Tc 2.53, 3 Cu 2.55
Cu 0.1934 0.0000 0.5833  3 Cu 2.55, 3 Tc 2.58
Cu 0.5009 0.0000 0.5057  3 Tc 2.53, 3 Cu 2.55
Cu 0.6934 0.5000 0.5833  3 Cu 2.55, 3 Tc 2.58
Tc 0.3249 0.5000 0.4782  6 Cu 2.53-2.58, 1 La 2.56
Tc 0.8249 0.0000 0.4782  6 Cu 2.53-2.58, 1 La 2.56

---

# CsHf2Hg

Crystalline CsHf2Hg at its relaxed geometry (PBE-GGA, the Alexandria database).

Energy in eV/atom: -4.21

Cell: 4.4976 4.4976 22.9035 Å, 90.00 90.00 90.00°
Last column: nearest neighbours and their distance in Å.
Fractional coordinates of all 16 atoms:
Cs 0.0000 0.0000 0.0000  4 Hg 3.18, 4 Hf 3.32
Cs 0.0000 0.5000 0.2500  4 Hg 3.18, 4 Hf 3.32
Cs 0.5000 0.0000 0.7500  4 Hg 3.18, 4 Hf 3.32
Cs 0.5000 0.5000 0.5000  4 Hg 3.18, 4 Hf 3.32
Hf 0.2226 0.2500 0.6250  4 Hf 3.01-3.36, 2 Hg 3.23, 2 Cs 3.32
Hf 0.2500 0.7226 0.8750  4 Hf 3.01-3.36, 2 Hg 3.23, 2 Cs 3.32
Hf 0.2500 0.7774 0.3750  4 Hf 3.01-3.36, 2 Hg 3.23, 2 Cs 3.32
Hf 0.2774 0.2500 0.1250  4 Hf 3.01-3.36, 2 Hg 3.23, 2 Cs 3.32
Hf 0.7226 0.7500 0.1250  4 Hf 3.01-3.36, 2 Hg 3.23, 2 Cs 3.32
Hf 0.7500 0.2226 0.3750  4 Hf 3.01-3.36, 2 Hg 3.23, 2 Cs 3.32
Hf 0.7500 0.2774 0.8750  4 Hf 3.01-3.36, 2 Hg 3.23, 2 Cs 3.32
Hf 0.7774 0.7500 0.6250  4 Hf 3.01-3.36, 2 Hg 3.23, 2 Cs 3.32
Hg 0.0000 0.0000 0.5000  4 Cs 3.18, 4 Hf 3.23
Hg 0.0000 0.5000 0.7500  4 Cs 3.18, 4 Hf 3.23
Hg 0.5000 0.0000 0.2500  4 Cs 3.18, 4 Hf 3.23
Hg 0.5000 0.5000 0.0000  4 Cs 3.18, 4 Hf 3.23

---

# YTm3N4

Crystalline YTm3N4 at its relaxed geometry (PBE-GGA, the Alexandria database).

Energy in eV/atom: -8.44
Uncorrected formation energy in meV/atom: -1789

Cell: 4.8399 4.8399 4.8399 Å, 90.00 90.00 90.00°
Last column: nearest neighbours and their distance in Å.
Fractional coordinates of all 8 atoms:
Y 0.0000 0.0000 0.0000  6 N 2.42
Tm 0.0000 0.5000 0.5000  6 N 2.42
Tm 0.5000 0.0000 0.5000  6 N 2.42
Tm 0.5000 0.5000 0.0000  6 N 2.42
N 0.0000 0.0000 0.5000  4 Tm 2.42, 2 Y 2.42
N 0.0000 0.5000 0.0000  4 Tm 2.42, 2 Y 2.42
N 0.5000 0.0000 0.0000  4 Tm 2.42, 2 Y 2.42
N 0.5000 0.5000 0.5000  6 Tm 2.42

---

# CaTa2Cr

Crystalline CaTa2Cr at its relaxed geometry (PBE-GGA, the Alexandria database).

Energy relative to the lowest polymorph listed for this composition in eV per atom: 0.2776
Energy in eV/atom: -8.08

Cell: 3.2624 4.6513 5.1845 Å, 90.00 90.00 90.00°
Last column: nearest neighbours and their distance in Å.
Fractional coordinates of all 4 atoms:
Ca 0.0000 0.0000 0.0000  4 Cr 2.84, 4 Ta 3.06
Ta 0.0000 0.5000 0.5000  4 Ta 2.84, 4 Cr 3.06
Ta 0.5000 0.0000 0.5000  4 Ta 2.84, 4 Ca 3.06
Cr 0.5000 0.5000 0.0000  4 Ca 2.84, 4 Ta 3.06

---

# LiBBr3

Crystalline LiBBr3 at its relaxed geometry (PBE-GGA, the Alexandria database).

Energy relative to the lowest polymorph listed for this composition in eV per atom: 1.3272
Energy in eV/atom: -2.21
Uncorrected formation energy in meV/atom: 509

Cell: 5.0462 5.0462 5.0462 Å, 90.00 90.00 90.00°
Last column: nearest neighbours and their distance in Å.
Fractional coordinates of all 5 atoms:
Li 0.0000 0.0000 0.0000  6 Br 2.52
B 0.5000 0.5000 0.5000  12 Br 3.57
Br 0.0000 0.0000 0.5000  2 Li 2.52
Br 0.0000 0.5000 0.0000  2 Li 2.52
Br 0.5000 0.0000 0.0000  2 Li 2.52

---

# La2Ni2Ag3

Crystalline La2Ni2Ag3 at its relaxed geometry (PBE-GGA, the Alexandria database).

Energy in eV/atom: -4.55

Cell: 9.9452 4.2421 6.9814 Å, 90.00 98.08 90.00°
Last column: nearest neighbours and their distance in Å.
Fractional coordinates of all 14 atoms:
La 0.1234 0.0000 0.3376  5 Ni 2.92-3.09, 1 Ag 3.23
La 0.3766 0.5000 0.6624  5 Ni 2.92-3.09, 1 Ag 3.23
La 0.6234 0.5000 0.3376  5 Ni 2.92-3.09, 1 Ag 3.23
La 0.8766 0.0000 0.6624  5 Ni 2.92-3.09, 1 Ag 3.23
Ni 0.0813 0.5000 0.6457  1 Ni 2.41
Ni 0.4187 0.0000 0.3543  1 Ni 2.41
Ni 0.5813 0.0000 0.6457  1 Ni 2.41
Ni 0.9187 0.5000 0.3543  1 Ni 2.41
Ag 0.0000 0.5000 0.0000  2 Ni 2.71
Ag 0.1875 0.0000 0.8713  2 Ni 2.76, 4 Ag 2.94-3.04
Ag 0.3125 0.5000 0.1287  2 Ni 2.76, 4 Ag 2.94-3.04
Ag 0.5000 0.0000 0.0000  2 Ni 2.71
Ag 0.6875 0.5000 0.8713  2 Ni 2.76, 4 Ag 2.94-3.04
Ag 0.8125 0.0000 0.1287  2 Ni 2.76, 4 Ag 2.94-3.04

---

# ScCuCl

Crystalline ScCuCl at its relaxed geometry (PBE-GGA, the Alexandria database).

Energy relative to the lowest polymorph listed for this composition in eV per atom: 0.5538
Energy in eV/atom: -4.19
Uncorrected formation energy in meV/atom: -95

Cell: 6.1769 6.1769 6.1769 Å, 90.00 90.00 90.00°
Last column: nearest neighbours and their distance in Å.
Fractional coordinates of all 12 atoms:
Sc 0.0000 0.0000 0.0000  4 Cl 2.67
Sc 0.0000 0.5000 0.5000  4 Cl 2.67
Sc 0.5000 0.0000 0.5000  4 Cl 2.67
Sc 0.5000 0.5000 0.0000  4 Cl 2.67
Cu 0.0000 0.0000 0.5000  4 Cl 2.67
Cu 0.0000 0.5000 0.0000  4 Cl 2.67
Cu 0.5000 0.0000 0.0000  4 Cl 2.67
Cu 0.5000 0.5000 0.5000  4 Cl 2.67
Cl 0.2500 0.2500 0.7500  4 Sc 2.67, 4 Cu 2.67
Cl 0.2500 0.7500 0.2500  4 Sc 2.67, 4 Cu 2.67
Cl 0.7500 0.2500 0.2500  4 Sc 2.67, 4 Cu 2.67
Cl 0.7500 0.7500 0.7500  4 Sc 2.67, 4 Cu 2.67

---

# SrTlMo

Crystalline SrTlMo at its relaxed geometry (PBE-GGA, the Alexandria database).

Energy relative to the lowest polymorph listed for this composition in eV per atom: 0.0040
Energy in eV/atom: -4.25

Cell: 5.0295 5.0295 3.8583 Å, 90.00 90.00 120.00°
Last column: nearest neighbours and their distance in Å.
Fractional coordinates of all 3 atoms:
Sr 0.0000 0.0000 0.0000  6 Tl 3.48-3.49, 6 Mo 3.48-3.49, 2 Sr 3.86
Tl 0.6667 0.3333 0.5007  3 Mo 2.90
Mo 0.3333 0.6667 0.4993  3 Tl 2.90

---

Among the records above, which one has the lowest energy?
YTm3N4